Record 1
The following is a PBE calculation of CrAgW2 after structural relaxation, from Alexandria via LeMat-Bulk.

Results
- E_tot (eV/atom) = -8.53
- E_form (meV/atom) = 1067
- magnetic moment (μB per formula unit) = 2.5

Cell: 3.7739 3.7739 10.0503 Å, 79.18 79.18 90.00°
Site moments in Bohr magnetons follow the coordinates.
Fractional coordinates of all 8 atoms:
W (0.1410, 0.6250, 0.2500)  -0.20
W (0.3750, 0.3910, 0.7500)  -0.21
W (0.6090, 0.1250, 0.2500)  -0.20
W (0.8750, 0.8590, 0.7500)  -0.21
Cr (0.5000, 0.5000, 0.0000)  2.83
Cr (0.2500, 0.7500, 0.5000)  2.83
Ag (0.7500, 0.2500, 0.5000)  0.00
Ag (0.0000, 0.0000, 0.0000)  0.01

=====

Record 2
The following is a PBE calculation of Mg2CuHPd after structural relaxation, from Alexandria via LeMat-Bulk.

Results
- E_tot (eV/atom) = -3.49
- magnetic moment (μB per formula unit) = 0.0

Cell: 4.4496 4.4496 3.3566 Å, 90.00 90.00 90.00°
Fractional coordinates of all 5 atoms:
Mg (0.0000, 0.5000, 0.0000)
Mg (0.5000, 0.0000, 0.0000)
H (0.0000, 0.0000, 0.0000)
Pd (0.5000, 0.5000, 0.5000)
Cu (0.0000, 0.0000, 0.5000)

=====

Record 3
The following is a PBE calculation of ZrTiPd4 after structural relaxation, from Alexandria via LeMat-Bulk.

Results
- E_tot (eV/atom) = -6.67
- E_form (meV/atom) = -468
- magnetic moment (μB per formula unit) = 0.0

Cell: 5.9443 5.0727 7.6644 Å, 90.00 90.00 61.44°
Fractional coordinates of all 12 atoms:
Pd (0.7402, 0.4860, 0.4314)
Pd (0.7402, 0.9860, 0.5686)
Pd (0.7401, 0.4860, 0.0688)
Pd (0.2599, 0.0140, 0.0688)
Pd (0.2598, 0.0140, 0.4314)
Pd (0.7401, 0.9860, 0.9312)
Pd (0.2598, 0.5140, 0.5686)
Pd (0.2599, 0.5140, 0.9312)
Ti (0.5000, 0.7500, 0.7500)
Ti (0.5000, 0.2500, 0.2500)
Zr (0.0000, 0.7500, 0.2499)
Zr (0.0000, 0.2500, 0.7501)

=====

Record 4
The following is a PBE calculation of Ho3InRh after structural relaxation, from Alexandria via LeMat-Bulk.

Results
- E_tot (eV/atom) = -5.27
- E_form (meV/atom) = -510
- magnetic moment (μB per formula unit) = 0.0

Cell: 5.4393 6.5106 9.1048 Å, 68.39 72.62 65.31°
Fractional coordinates of all 10 atoms:
In (0.6102, 0.2354, 0.5443)
In (0.3898, 0.7646, 0.4557)
Rh (0.8603, 0.3345, 0.9448)
Rh (0.1397, 0.6655, 0.0552)
Ho (0.8884, 0.9950, 0.2282)
Ho (0.1116, 0.0050, 0.7718)
Ho (0.3897, 0.3197, 0.9010)
Ho (0.1570, 0.3421, 0.3438)
Ho (0.6103, 0.6803, 0.0990)
Ho (0.8430, 0.6579, 0.6562)

=====

Record 5
The following is a PBE calculation of Zr2GePb2 after structural relaxation, from Alexandria via LeMat-Bulk.

Results
- E_tot (eV/atom) = -5.67
- E_form (meV/atom) = 159
- magnetic moment (μB per formula unit) = 0.0

Cell: 7.8559 7.8559 4.0235 Å, 90.00 90.00 90.00°
Fractional coordinates of all 10 atoms:
Pb (0.3500, 0.8500, 0.0000)
Pb (0.8500, 0.6500, 0.0000)
Pb (0.1500, 0.3500, 0.0000)
Pb (0.6500, 0.1500, 0.0000)
Zr (0.6496, 0.8504, 0.5000)
Zr (0.1496, 0.6496, 0.5000)
Zr (0.3504, 0.1496, 0.5000)
Zr (0.8504, 0.3504, 0.5000)
Ge (0.5000, 0.5000, 0.0000)
Ge (0.0000, 0.0000, 0.0000)

=====

Record 6
The following is a PBE calculation of PmThBiTe after structural relaxation, from Alexandria via LeMat-Bulk.

Results
- E_tot (eV/atom) = -5.70
- formation energy from raw total energies (eV per atom) = -0.90
- magnetic moment (μB per formula unit) = 0.0

Cell: 5.5153 5.5153 5.5153 Å, 60.00 60.00 60.00°
Fractional coordinates of all 4 atoms:
Te (0.7500, 0.7500, 0.7500)
Th (0.5000, 0.5000, 0.5000)
Pm (0.0000, 0.0000, 0.0000)
Bi (0.2500, 0.2500, 0.2500)

=====

Record 7
The following is a PBE calculation of TeAs2Ir after structural relaxation, from Alexandria via LeMat-Bulk.

Results
- E_tot (eV/atom) = -5.20
- formation energy from raw total energies (eV per atom) = 0.12
- magnetic moment (μB per formula unit) = 0.0

Cell: 6.9316 6.9316 6.9316 Å, 31.90 31.90 31.90°
Fractional coordinates of all 4 atoms:
As (0.9954, 0.9954, 0.9954)
As (0.2382, 0.2382, 0.2382)
Ir (0.5091, 0.5091, 0.5091)
Te (0.7572, 0.7572, 0.7572)

=====

Record 8
The following is a PBE calculation of TbYAlGe after structural relaxation, from Alexandria via LeMat-Bulk.

Results
- E_tot (eV/atom) = -5.57
- E_form (meV/atom) = -711
- magnetic moment (μB per formula unit) = 0.0

Cell: 4.3740 4.0312 5.8845 Å, 90.00 111.82 90.00°
Fractional coordinates of all 4 atoms:
Ge (0.5772, 0.5000, 0.1544)
Al (0.4250, 0.0000, 0.8500)
Tb (0.8580, 0.5000, 0.7160)
Y (0.1398, 0.0000, 0.2796)